No. 1
This record from Alexandria via LeMat-Bulk describes a geometry-optimized PmLuBiPd structure. The functional is PBE-GGA.

**Fermi-level density of states**: 1.088 states/eV per atom
**Total magnetic moment**: 0.18 μB/atom
**DFT total energy**: -20.78 eV per formula unit

a = 5.247 Å, b = 5.247 Å, c = 5.247 Å
α = 60.00°, β = 60.00°, γ = 60.00°
Site moments in Bohr magnetons follow the coordinates.
Element x y z (fractional)
Pm 0.750 0.750 0.750  0.20
Lu 0.250 0.250 0.250  0.20
Bi 0.500 0.500 0.500  -0.01
Pd 0.000 0.000 0.000  0.04

---

No. 2
This record from Alexandria via LeMat-Bulk describes a geometry-optimized LuBiPdPt structure. The functional is PBE-GGA.

**Fermi-level density of states**: 0.708 states/eV per atom
**Total magnetic moment**: 0.00 μB/atom
**DFT total energy**: -22.62 eV per formula unit

a = 4.870 Å, b = 4.870 Å, c = 4.870 Å
α = 60.00°, β = 60.00°, γ = 60.00°
Element x y z (fractional)
Bi 0.750 0.750 0.750
Pt 0.000 0.000 0.000
Pd 0.500 0.500 0.500
Lu 0.250 0.250 0.250

---

No. 3
This record from Alexandria via LeMat-Bulk describes a geometry-optimized LuBiPdRu structure. The functional is PBE-GGA.

**Fermi-level density of states**: 0.913 states/eV per atom
**Total magnetic moment**: 0.00 μB/atom
**DFT total energy**: -24.24 eV per formula unit

a = 4.786 Å, b = 4.786 Å, c = 4.786 Å
α = 60.00°, β = 60.00°, γ = 60.00°
Element x y z (fractional)
Ru 0.250 0.250 0.250
Bi 0.000 0.000 0.000
Pd 0.750 0.750 0.750
Lu 0.500 0.500 0.500

---

No. 4
This record from Alexandria via LeMat-Bulk describes a geometry-optimized PmLu2Bi structure. The functional is PBE-GGA.

**Fermi-level density of states**: 1.348 states/eV per atom
**Total magnetic moment**: 0.05 μB/atom
**DFT total energy**: -18.91 eV per formula unit

a = 4.875 Å, b = 4.856 Å, c = 4.856 Å
α = 90.00°, β = 90.00°, γ = 90.00°
Site moments in Bohr magnetons follow the coordinates.
Element x y z (fractional)
Lu 0.000 0.000 0.500  0.06
Bi 0.500 0.000 0.000  0.00
Lu 0.000 0.500 0.000  0.06
Pm 0.500 0.500 0.500  0.02

---

No. 5
This record from Alexandria via LeMat-Bulk describes a geometry-optimized PmLu2Bi structure. The functional is PBE-GGA.

**Fermi-level density of states**: 1.072 states/eV per atom
**Total magnetic moment**: 0.00 μB/atom
**DFT total energy**: -18.86 eV per formula unit

a = 3.986 Å, b = 3.986 Å, c = 7.475 Å
α = 90.00°, β = 90.00°, γ = 90.00°
Element x y z (fractional)
Pm 0.500 0.500 0.000
Lu 0.000 0.000 0.273
Lu 0.000 0.000 0.727
Bi 0.500 0.500 0.500

---

No. 6
This record from Alexandria via LeMat-Bulk describes a geometry-optimized PmLuSnBi structure. The functional is PBE-GGA.

**Fermi-level density of states**: 1.346 states/eV per atom
**Total magnetic moment**: 0.00 μB/atom
**DFT total energy**: -19.17 eV per formula unit

a = 5.464 Å, b = 5.464 Å, c = 5.464 Å
α = 60.00°, β = 60.00°, γ = 60.00°
Element x y z (fractional)
Sn 0.000 0.000 0.000
Pm 0.250 0.250 0.250
Bi 0.500 0.500 0.500
Lu 0.750 0.750 0.750